Compound: CeTh2Al9
Source: the Alexandria database
Functional: PBE
Structure: optimized geometry

As for the formation energy: -337 meV/atom.

It has space group R-3m (No. 166, hexagonal axes), with a = 5.6599 Å, b = 5.6599 Å, c = 26.6702 Å, α = 90.00°, β = 90.00° and γ = 120.00°. The distinct sites, in fractional coordinates, are Ce at (0.0000, 0.0000, 0.0000), Th at (0.0000, 0.0000, 0.1411), Al at (0.0000, 0.0000, 0.3352), Al at (0.0000, 0.0000, 0.5000) and Al at (0.0063, 0.5031, 0.9175).